# 1
Entry from the Alexandria database: an optimized crystal structure of HoCoB5O10 (GGA-PBEsol).

a = 7.549 Å, b = 8.486 Å, c = 9.347 Å
α = 85.71°, β = 90.00°, γ = 90.00°
Fractional positions:
O (0.648, 0.181, 0.359)
O (0.468, 0.814, 0.880)
O (0.109, 0.179, 0.921)
O (0.766, 0.548, 0.476)
Ho (0.181, 0.819, 0.242)
O (0.968, 0.686, 0.620)
O (0.352, 0.490, 0.931)
O (0.903, 0.488, 0.201)
B (0.809, 0.435, 0.089)
Co (0.598, 0.601, 0.869)
O (0.266, 0.952, 0.024)
B (0.676, 0.479, 0.603)
Ho (0.681, 0.681, 0.258)
O (0.941, 0.746, 0.366)
B (0.309, 0.065, 0.411)
Co (0.098, 0.899, 0.631)
O (0.800, 0.459, 0.725)
Ho (0.319, 0.319, 0.742)
B (0.929, 0.583, 0.751)
B (0.532, 0.277, 0.443)
B (0.071, 0.417, 0.249)
B (0.324, 0.521, 0.397)
O (0.874, 0.319, 0.010)
O (0.597, 0.988, 0.701)
B (0.824, 0.979, 0.103)
O (0.626, 0.819, 0.510)
O (0.891, 0.821, 0.079)
O (0.391, 0.679, 0.421)
O (0.126, 0.681, 0.990)
O (0.032, 0.314, 0.380)
O (0.528, 0.582, 0.651)
O (0.148, 0.319, 0.141)
B (0.429, 0.917, 0.749)
O (0.097, 0.512, 0.799)
O (0.234, 0.452, 0.524)
Ho (0.819, 0.181, 0.758)
O (0.972, 0.082, 0.151)
O (0.059, 0.254, 0.634)
B (0.032, 0.223, 0.057)
O (0.852, 0.681, 0.859)
O (0.441, 0.754, 0.134)
B (0.104, 0.337, 0.512)
O (0.403, 0.012, 0.299)
O (0.852, 0.010, 0.569)
Co (0.402, 0.399, 0.131)
O (0.648, 0.510, 0.069)
O (0.028, 0.918, 0.849)
O (0.352, 0.819, 0.641)
B (0.396, 0.837, 0.012)
O (0.532, 0.186, 0.120)
B (0.896, 0.663, 0.488)
O (0.148, 0.990, 0.431)
O (0.609, 0.321, 0.579)
B (0.691, 0.935, 0.589)
B (0.604, 0.163, 0.988)
O (0.559, 0.246, 0.866)
B (0.191, 0.565, 0.911)
B (0.468, 0.723, 0.557)
O (0.300, 0.041, 0.775)
O (0.374, 0.181, 0.490)
O (0.472, 0.418, 0.349)
B (0.968, 0.777, 0.943)
Co (0.902, 0.101, 0.369)
O (0.700, 0.959, 0.225)
O (0.734, 0.048, 0.976)
B (0.571, 0.083, 0.251)
O (0.200, 0.541, 0.275)
B (0.176, 0.021, 0.897)

Results
The size of the total moment comes out at 3.0 μB per formula unit. Its space group is P2_1/c (14). For the total energy, the calculation gives -567.52 eV per cell.

---

# 2
Entry from the Alexandria database: an optimized crystal structure of CoBIN2 (GGA-PBEsol).

a = 3.293 Å, b = 3.293 Å, c = 6.622 Å
α = 90.00°, β = 90.00°, γ = 90.00°
Fractional positions:
N (0.000, 0.500, 0.000)
N (0.500, 0.000, 0.000)
Co (0.500, 0.500, 0.500)
B (0.000, 0.000, 0.000)
I (0.000, 0.000, 0.500)

Results
The size of the total moment comes out at 1.6 μB per formula unit. Its space group is P4/mmm (123). For the total energy, the calculation gives -26.44 eV per cell.

---

# 3
Entry from the Alexandria database: an optimized crystal structure of Sr2CoBI (GGA-PBEsol).

a = 4.500 Å, b = 6.047 Å, c = 6.047 Å
α = 90.00°, β = 90.00°, γ = 90.00°
Fractional positions:
Co (0.500, 0.500, 0.500)
B (0.500, 0.000, 0.000)
I (0.000, 0.000, 0.000)
Sr (0.000, 0.500, 0.000)
Sr (0.000, 0.000, 0.500)

Results
The size of the total moment comes out at 1.7 μB per formula unit. Its space group is P4/mmm (123). For the total energy, the calculation gives -14.27 eV per cell.

---

# 4
Entry from the Alexandria database: an optimized crystal structure of In3Co20B6 (GGA-PBEsol).

a = 7.432 Å, b = 7.432 Å, c = 7.432 Å
α = 60.00°, β = 60.00°, γ = 60.00°
Fractional positions:
B (0.276, 0.724, 0.276)
Co (0.000, 0.655, 0.345)
Co (0.345, 0.000, 0.655)
Co (0.000, 0.000, 0.655)
Co (0.386, 0.386, 0.386)
Co (0.614, 0.159, 0.614)
B (0.724, 0.276, 0.276)
Co (0.000, 0.345, 0.000)
Co (0.159, 0.614, 0.614)
In (0.750, 0.750, 0.750)
Co (0.000, 0.000, 0.345)
Co (0.841, 0.386, 0.386)
B (0.276, 0.724, 0.724)
Co (0.655, 0.000, 0.000)
Co (0.386, 0.841, 0.386)
B (0.724, 0.724, 0.276)
Co (0.614, 0.614, 0.614)
Co (0.655, 0.345, 0.000)
Co (0.345, 0.000, 0.000)
Co (0.655, 0.000, 0.345)
In (0.250, 0.250, 0.250)
B (0.276, 0.276, 0.724)
Co (0.614, 0.614, 0.159)
Co (0.386, 0.386, 0.841)
B (0.724, 0.276, 0.724)
Co (0.000, 0.345, 0.655)
In (0.000, 0.000, 0.000)
Co (0.345, 0.655, 0.000)
Co (0.000, 0.655, 0.000)

Results
The size of the total moment comes out at 17.9 μB per formula unit. Its formation energy from the elements is -4.655 eV/f.u. Its space group is Fm-3m (225). For the total energy, the calculation gives -210.44 eV per cell.